# Pr5Y3Ho4 PBE optimized geometry
# * density: 6.57 g/cm³
# * spin magnetization: 0.00 μB per atom
# * formation enthalpy at 0 K: 227.1 meV/atom
data_Pr5Y3Ho4
_chemical_formula_sum 'Pr10 Y6 Ho8'
_cell_length_a 9.8283
_cell_length_b 5.8650
_cell_length_c 15.0821
_cell_angle_alpha 90.00
_cell_angle_beta 108.62
_cell_angle_gamma 90.00
_symmetry_space_group_name_H-M 'C 1 2/m 1'
_symmetry_Int_Tables_number 12
loop_
_symmetry_equiv_pos_as_xyz
'x,y,z'
'-x,-y,-z'
'-x,y,-z'
'x,-y,z'
'x+1/2,y+1/2,z'
'-x+1/2,-y+1/2,-z'
'-x+1/2,y+1/2,-z'
'x+1/2,-y+1/2,z'
loop_
_atom_site_label
_atom_site_type_symbol
_atom_site_fract_x
_atom_site_fract_y
_atom_site_fract_z
Pr1 Pr 0.0000 0.0000 0.0000
Pr2 Pr 0.0488 0.5000 0.2471
Pr3 Pr 0.1678 0.5000 0.4982
Y1 Y 0.0000 0.5000 0.0000
Y2 Y 0.2079 0.0000 0.2491
Ho1 Ho 0.0602 0.0000 0.6238
Ho2 Ho 0.1742 0.0000 0.8550